The following is a meta-GGA SCAN calculation of LaCu2W at its PBEsol-relaxed geometry, from the Alexandria database.

Values from the calculation:
Excess energy over the best structure of this formula in the dataset: 0.900 eV/f.u.
Total moment: 0.703 μB per atom
Energy of formation from the pure elements: 0.90 eV per atom
DFT total energy: -34.902 eV per atom

CIF file:
```
data_LaCu2W
_chemical_formula_sum 'La4 Cu8 W4'
_cell_length_a 6.494
_cell_length_b 6.494
_cell_length_c 6.494
_cell_angle_alpha 90.00
_cell_angle_beta 90.00
_cell_angle_gamma 90.00
_symmetry_space_group_name_H-M 'F -4 3 m'
_symmetry_Int_Tables_number 216
_symmetry_space_group_name_Hall 'F -4 2 3'
loop_
_atom_site_label
_atom_site_type_symbol
_atom_site_fract_x
_atom_site_fract_y
_atom_site_fract_z
_atom_site_occupancy
La1 La 0.000 0.000 0.000 1
Cu1 Cu 0.000 0.000 0.500 1
Cu2 Cu 0.250 0.250 0.250 1
W1 W 0.250 0.250 0.750 1
```

***

The following is a meta-GGA SCAN calculation of SrSeCl2 at its PBEsol-relaxed geometry, from the Alexandria database.

Values from the calculation:
Total moment: 0.000 μB per atom
Formation energy (no corrections): -6.79 eV/f.u.
DFT total energy: -16.275 eV per atom

CIF file:
```
data_SrSeCl2
_chemical_formula_sum 'Sr2 Se2 Cl4'
_cell_length_a 10.169
_cell_length_b 4.201
_cell_length_c 4.912
_cell_angle_alpha 90.00
_cell_angle_beta 95.79
_cell_angle_gamma 90.00
_symmetry_space_group_name_H-M 'C 1 2/m 1'
_symmetry_Int_Tables_number 12
loop_
_symmetry_equiv_pos_as_xyz
'x,y,z'
'-x,-y,-z'
'-x,y,-z'
'x,-y,z'
'x+1/2,y+1/2,z'
'-x+1/2,-y+1/2,-z'
'-x+1/2,y+1/2,-z'
'x+1/2,-y+1/2,z'
loop_
_atom_site_label
_atom_site_type_symbol
_atom_site_fract_x
_atom_site_fract_y
_atom_site_fract_z
_atom_site_occupancy
Sr1 Sr 0.000 0.000 0.000 1
Se1 Se 0.000 0.500 0.500 1
Cl1 Cl 0.187 0.500 0.221 1
```

***

The following is a meta-GGA SCAN calculation of Y2BeCrOs at its PBEsol-relaxed geometry, from the Alexandria database.

Values from the calculation:
Total moment: 0.705 μB per atom
Energy of formation from the pure elements: 0.62 eV per atom
DFT total energy: -29.438 eV per atom

CIF file:
```
data_Y2BeCrOs
_chemical_formula_sum 'Y2 Be1 Cr1 Os1'
_cell_length_a 4.957
_cell_length_b 4.957
_cell_length_c 3.971
_cell_angle_alpha 90.00
_cell_angle_beta 90.00
_cell_angle_gamma 90.00
_symmetry_space_group_name_H-M 'P 4/m m m'
_symmetry_Int_Tables_number 123
_symmetry_space_group_name_Hall '-P 4 2'
loop_
_atom_site_label
_atom_site_type_symbol
_atom_site_fract_x
_atom_site_fract_y
_atom_site_fract_z
_atom_site_occupancy
Y1 Y 0.000 0.500 0.000 1
Be1 Be 0.000 0.000 0.000 1
Cr1 Cr 0.000 0.000 0.500 1
Os1 Os 0.500 0.500 0.500 1
```

***

The following is a meta-GGA SCAN calculation of VCl2O at its PBEsol-relaxed geometry, from the Alexandria database.

Values from the calculation:
Total moment: 0.250 μB per atom
Formation energy (no corrections): -7.48 eV/f.u.
DFT total energy: -11.788 eV per atom

CIF file:
```
data_VCl2O
_chemical_formula_sum 'V4 Cl8 O4'
_cell_length_a 12.716
_cell_length_b 3.717
_cell_length_c 6.803
_cell_angle_alpha 90.00
_cell_angle_beta 105.50
_cell_angle_gamma 90.00
_symmetry_space_group_name_H-M 'C 1 2/c 1'
_symmetry_Int_Tables_number 15
loop_
_symmetry_equiv_pos_as_xyz
'x,y,z'
'-x,-y,-z'
'-x,y,-z+1/2'
'x,-y,z+1/2'
'x+1/2,y+1/2,z'
'-x+1/2,-y+1/2,-z'
'-x+1/2,y+1/2,-z+1/2'
'x+1/2,-y+1/2,z+1/2'
loop_
_atom_site_label
_atom_site_type_symbol
_atom_site_fract_x
_atom_site_fract_y
_atom_site_fract_z
_atom_site_occupancy
V1 V 0.000 0.076 0.250 1
Cl1 Cl 0.132 0.000 0.066 1
O1 O 0.000 0.485 0.750 1
```

***

The following is a meta-GGA SCAN calculation of Os2Ru at its PBEsol-relaxed geometry, from the Alexandria database.

Values from the calculation:
Excess energy over the best structure of this formula in the dataset: 0.000 eV/f.u.
Total moment: 0.000 μB per atom
Energy of formation from the pure elements: -0.02 eV per atom
DFT total energy: -59.548 eV per atom

CIF file:
```
data_Os2Ru
_chemical_formula_sum 'Os8 Ru4'
_cell_length_a 8.142
_cell_length_b 4.705
_cell_length_c 4.295
_cell_angle_alpha 90.00
_cell_angle_beta 90.00
_cell_angle_gamma 90.00
_symmetry_space_group_name_H-M 'C m c m'
_symmetry_Int_Tables_number 63
_symmetry_space_group_name_Hall '-C 2c 2'
loop_
_atom_site_label
_atom_site_type_symbol
_atom_site_fract_x
_atom_site_fract_y
_atom_site_fract_z
_atom_site_occupancy
Os1 Os 0.166 0.167 0.250 1
Ru1 Ru 0.000 0.334 0.750 1
```

***

The following is a meta-GGA SCAN calculation of K2SmAgCl6 at its PBEsol-relaxed geometry, from the Alexandria database.

Values from the calculation:
Total moment: 0.000 μB per atom
Formation energy (no corrections): -19.70 eV/f.u.
DFT total energy: -16.004 eV per atom

CIF file:
```
data_K2SmAgCl6
_chemical_formula_sum 'K8 Sm4 Ag4 Cl24'
_cell_length_a 10.576
_cell_length_b 10.576
_cell_length_c 10.576
_cell_angle_alpha 90.00
_cell_angle_beta 90.00
_cell_angle_gamma 90.00
_symmetry_space_group_name_H-M 'F m -3 m'
_symmetry_Int_Tables_number 225
_symmetry_space_group_name_Hall '-F 4 2 3'
loop_
_atom_site_label
_atom_site_type_symbol
_atom_site_fract_x
_atom_site_fract_y
_atom_site_fract_z
_atom_site_occupancy
K1 K 0.250 0.250 0.250 1
Sm1 Sm 0.000 0.000 0.000 1
Ag1 Ag 0.000 0.000 0.500 1
Cl1 Cl 0.000 0.000 0.250 1
```

***

The following is a meta-GGA SCAN calculation of ZrTaMo2 at its PBEsol-relaxed geometry, from the Alexandria database.

Values from the calculation:
Excess energy over the best structure of this formula in the dataset: 0.459 eV/f.u.
Total moment: 0.000 μB per atom
Energy of formation from the pure elements: 0.04 eV per atom
DFT total energy: -41.723 eV per atom

CIF file:
```
data_ZrTaMo2
_chemical_formula_sum 'Zr2 Ta2 Mo4'
_cell_length_a 5.760
_cell_length_b 8.856
_cell_length_c 2.865
_cell_angle_alpha 90.00
_cell_angle_beta 111.12
_cell_angle_gamma 90.00
_symmetry_space_group_name_H-M 'C 1 2/m 1'
_symmetry_Int_Tables_number 12
loop_
_symmetry_equiv_pos_as_xyz
'x,y,z'
'-x,-y,-z'
'-x,y,-z'
'x,-y,z'
'x+1/2,y+1/2,z'
'-x+1/2,-y+1/2,-z'
'-x+1/2,y+1/2,-z'
'x+1/2,-y+1/2,z'
loop_
_atom_site_label
_atom_site_type_symbol
_atom_site_fract_x
_atom_site_fract_y
_atom_site_fract_z
_atom_site_occupancy
Zr1 Zr 0.000 0.000 0.000 1
Ta1 Ta 0.000 0.500 0.000 1
Mo1 Mo 0.250 0.250 0.500 1
```

***

The following is a meta-GGA SCAN calculation of CaTl2Pt at its PBEsol-relaxed geometry, from the Alexandria database.

Values from the calculation:
Total moment: 0.000 μB per atom
Energy of formation from the pure elements: -0.34 eV per atom
DFT total energy: -56.483 eV per atom

CIF file:
```
data_CaTl2Pt
_chemical_formula_sum 'Ca2 Tl4 Pt2'
_cell_length_a 4.621
_cell_length_b 4.621
_cell_length_c 8.356
_cell_angle_alpha 90.00
_cell_angle_beta 90.00
_cell_angle_gamma 90.00
_symmetry_space_group_name_H-M 'I -4 m 2'
_symmetry_Int_Tables_number 119
_symmetry_space_group_name_Hall 'I -4 -2'
loop_
_atom_site_label
_atom_site_type_symbol
_atom_site_fract_x
_atom_site_fract_y
_atom_site_fract_z
_atom_site_occupancy
Ca1 Ca 0.000 0.000 0.000 1
Tl1 Tl 0.000 0.000 0.500 1
Tl2 Tl 0.000 0.500 0.750 1
Pt1 Pt 0.000 0.500 0.250 1
```

***

The following is a meta-GGA SCAN calculation of Li3CoRu at its PBEsol-relaxed geometry, from the Alexandria database.

Values from the calculation:
Total moment: 0.720 μB per atom
Energy of formation from the pure elements: 1.13 eV per atom
DFT total energy: -10.730 eV per atom

CIF file:
```
data_Li3CoRu
_chemical_formula_sum 'Li3 Co1 Ru1'
_cell_length_a 4.122
_cell_length_b 4.122
_cell_length_c 4.122
_cell_angle_alpha 90.00
_cell_angle_beta 90.00
_cell_angle_gamma 90.00
_symmetry_space_group_name_H-M 'P m -3 m'
_symmetry_Int_Tables_number 221
_symmetry_space_group_name_Hall '-P 4 2 3'
loop_
_atom_site_label
_atom_site_type_symbol
_atom_site_fract_x
_atom_site_fract_y
_atom_site_fract_z
_atom_site_occupancy
Li1 Li 0.000 0.000 0.500 1
Co1 Co 0.000 0.000 0.000 1
Ru1 Ru 0.500 0.500 0.500 1
```

***

The following is a meta-GGA SCAN calculation of AlCrTc at its PBEsol-relaxed geometry, from the Alexandria database.

Values from the calculation:
Excess energy over the best structure of this formula in the dataset: 2.651 eV/f.u.
Total moment: 0.884 μB per atom
Energy of formation from the pure elements: 0.51 eV per atom
DFT total energy: -19.889 eV per atom

CIF file:
```
data_AlCrTc
_chemical_formula_sum 'Al4 Cr4 Tc4'
_cell_length_a 5.773
_cell_length_b 5.773
_cell_length_c 5.773
_cell_angle_alpha 90.00
_cell_angle_beta 90.00
_cell_angle_gamma 90.00
_symmetry_space_group_name_H-M 'F -4 3 m'
_symmetry_Int_Tables_number 216
_symmetry_space_group_name_Hall 'F -4 2 3'
loop_
_atom_site_label
_atom_site_type_symbol
_atom_site_fract_x
_atom_site_fract_y
_atom_site_fract_z
_atom_site_occupancy
Al1 Al 0.000 0.000 0.000 1
Cr1 Cr 0.250 0.250 0.750 1
Tc1 Tc 0.250 0.250 0.250 1
```

***

The following is a meta-GGA SCAN calculation of CuBSe2 at its PBEsol-relaxed geometry, from the Alexandria database.

Values from the calculation:
Total moment: 0.000 μB per atom
Formation energy (no corrections): 1.86 eV/f.u.
DFT total energy: -15.232 eV per atom

CIF file:
```
data_CuBSe2
_chemical_formula_sum 'Cu3 B3 Se6'
_cell_length_a 3.3010
_cell_length_b 3.3010
_cell_length_c 20.9112
_cell_angle_alpha 90.00
_cell_angle_beta 90.00
_cell_angle_gamma 120.00
_symmetry_space_group_name_H-M 'R -3 m'
_symmetry_Int_Tables_number 166
_symmetry_space_group_name_Hall '-R 3 2"'
loop_
_atom_site_label
_atom_site_type_symbol
_atom_site_fract_x
_atom_site_fract_y
_atom_site_fract_z
_atom_site_occupancy
Cu1 Cu 0.0000 0.0000 0.0000 1
B1 B 0.0000 0.0000 0.5000 1
Se1 Se 0.0000 0.0000 0.1076 1
```

***

The following is a meta-GGA SCAN calculation of Ba4GeAs4 at its PBEsol-relaxed geometry, from the Alexandria database.

Values from the calculation:
Total moment: 0.000 μB per atom
Energy of formation from the pure elements: -1.13 eV per atom
DFT total energy: -29.800 eV per atom

CIF file:
```
data_Ba4GeAs4
_chemical_formula_sum 'Ba32 Ge8 As32'
_cell_length_a 13.349
_cell_length_b 13.349
_cell_length_c 13.349
_cell_angle_alpha 90.00
_cell_angle_beta 90.00
_cell_angle_gamma 90.00
_symmetry_space_group_name_H-M 'P -4 3 n'
_symmetry_Int_Tables_number 218
_symmetry_space_group_name_Hall 'P -4n 2 3'
loop_
_atom_site_label
_atom_site_type_symbol
_atom_site_fract_x
_atom_site_fract_y
_atom_site_fract_z
_atom_site_occupancy
Ba1 Ba 0.097 0.131 0.644 1
Ba2 Ba 0.143 0.143 0.143 1
Ge1 Ge 0.000 0.000 0.000 1
Ge2 Ge 0.000 0.500 0.250 1
As1 As 0.106 0.385 0.649 1
As2 As 0.107 0.107 0.893 1
```